(1)
A plane-wave DFT calculation with PBE was carried out for Ti5CrRe4 after structural relaxation.

Geometry as extended XYZ:
```
10
Lattice="3.117 0.000 0.000 0.000 3.117 0.000 0.000 0.000 15.469" Properties=species:S:1:pos:R:3 pbc="T T T"
Ti 0.000 0.000 0.000
Ti 0.000 0.000 3.115
Ti 0.000 0.000 6.207
Ti 0.000 0.000 9.263
Ti 0.000 0.000 12.354
Cr 1.559 1.559 7.735
Re 1.559 1.559 1.559
Re 1.559 1.559 4.698
Re 1.559 1.559 10.771
Re 1.559 1.559 13.910
```

Results
- Calculated density: 11.446 g/cm3
- Raw total energy: -10.19 eV/atom
- Space-group type: No. 123
- E_form: -0.296 eV/atom

(2)
A plane-wave DFT calculation with PBE was carried out for Ti2Cr3Re after structural relaxation.

Geometry as extended XYZ:
```
6
Lattice="4.232 -2.447 0.000 4.232 2.447 0.000 -2.826 0.000 4.111" Properties=species:S:1:pos:R:3 pbc="T T T"
Ti -0.002 0.000 1.533
Ti 5.640 0.000 2.577
Cr 2.116 1.223 0.000
Cr 2.116 -1.223 0.000
Cr 4.232 0.000 0.000
Re 2.819 0.000 2.055
```

Results
- Calculated density: 8.542 g/cm3
- Raw total energy: -9.71 eV/atom
- Space-group type: No. 12
- E_form: -0.189 eV/atom

(3)
A plane-wave DFT calculation with PBE was carried out for TiVCrRe after structural relaxation.

Geometry as extended XYZ:
```
4
Lattice="0.000 3.028 3.028 3.028 0.000 3.028 3.028 3.028 0.000" Properties=species:S:1:pos:R:3 pbc="T T T"
Ti 0.000 0.000 0.000
V 3.028 3.028 3.028
Cr 1.514 1.514 1.514
Re 4.543 4.543 4.543
```

Results
- Calculated density: 10.074 g/cm3
- Raw total energy: -9.98 eV/atom
- Space-group type: No. 216
- E_form: -0.211 eV/atom

(4)
A plane-wave DFT calculation with PBE was carried out for Ti2V5Cr2Re after structural relaxation.

Geometry as extended XYZ:
```
20
Lattice="9.739 0.000 0.000 0.000 9.739 0.000 0.000 0.000 3.074" Properties=species:S:1:pos:R:3 pbc="T T T"
Ti 1.717 3.153 0.000
Ti 3.153 8.022 0.000
Ti 6.586 1.717 0.000
Ti 8.022 6.586 0.000
V 0.000 4.869 1.537
V 0.613 7.793 1.537
V 1.946 0.613 1.537
V 2.923 5.483 1.537
V 4.256 2.923 1.537
V 4.869 0.000 1.537
V 5.483 6.815 1.537
V 6.815 4.256 1.537
V 7.793 9.125 1.537
V 9.125 1.946 1.537
Cr 1.204 6.074 0.000
Cr 3.665 1.204 0.000
Cr 6.074 8.534 0.000
Cr 8.534 3.665 0.000
Re 0.000 0.000 0.000
Re 4.869 4.869 0.000
```

Results
- Calculated density: 7.297 g/cm3
- Raw total energy: -9.19 eV/atom
- Space-group type: No. 127
- E_form: 0.114 eV/atom

(5)
A plane-wave DFT calculation with PBE was carried out for TiZnCrRe after structural relaxation.

Geometry as extended XYZ:
```
4
Lattice="0.000 3.044 3.044 3.044 0.000 3.044 3.044 3.044 0.000" Properties=species:S:1:pos:R:3 pbc="T T T"
Ti 0.000 0.000 0.000
Zn 4.566 4.566 4.566
Cr 3.044 3.044 3.044
Re 1.522 1.522 1.522
```

Results
- Calculated density: 10.349 g/cm3
- Raw total energy: -7.82 eV/atom
- Space-group type: No. 216
- E_form: -0.014 eV/atom

(6)
A plane-wave DFT calculation with PBE was carried out for Tl4CrRe after structural relaxation.

Geometry as extended XYZ:
```
6
Lattice="0.000 4.328 4.328 4.328 0.000 4.328 4.328 4.328 0.000" Properties=species:S:1:pos:R:3 pbc="T T T"
Tl 1.085 1.085 1.085
Tl 3.243 3.243 1.085
Tl 3.243 1.085 3.243
Tl 1.085 3.243 3.243
Cr 6.492 6.492 6.492
Re 4.328 4.328 4.328
```

Results
- Calculated density: 10.812 g/cm3
- Raw total energy: -3.88 eV/atom
- Space-group type: No. 216
- E_form: 1.379 eV/atom

(7)
A plane-wave DFT calculation with PBE was carried out for TlCr3Re after structural relaxation.

Geometry as extended XYZ:
```
5
Lattice="4.753 0.000 0.000 0.000 4.753 0.000 0.000 0.000 4.753" Properties=species:S:1:pos:R:3 pbc="T T T"
Tl 0.000 0.000 0.000
Cr 0.000 2.377 2.377
Cr 2.377 0.000 2.377
Cr 2.377 2.377 0.000
Re 2.377 2.377 2.377
```

Results
- Calculated density: 8.451 g/cm3
- Raw total energy: -7.47 eV/atom
- Space-group type: No. 221
- Relative energy among the computed polymorphs: 0 meV per atom
- E_form: 1.265 eV/atom

(8)
A plane-wave DFT calculation with PBE was carried out for TlCr3Re after structural relaxation.

Geometry as extended XYZ:
```
5
Lattice="4.998 0.000 0.000 0.000 4.998 0.000 0.000 0.000 4.998" Properties=species:S:1:pos:R:3 pbc="T T T"
Tl 0.000 0.000 0.000
Cr 0.000 0.000 2.499
Cr 0.000 2.499 0.000
Cr 2.499 0.000 0.000
Re 2.499 2.499 2.499
```

Results
- Calculated density: 7.271 g/cm3
- Raw total energy: -6.35 eV/atom
- Space-group type: No. 221
- Relative energy among the computed polymorphs: 1118 meV per atom
- E_form: 2.383 eV/atom